The following is a DFT calculation (GGA-PBE) of a geometry-optimized AlNi2Hg structure.

ΔH_f (0 K): -0.114 eV per atom
Spin magnetization: 0.000 μB per formula unit
Calculated volume: 56.1 Å³/cell

Cell: 4.2970 4.2970 4.2970 Å, 60.00 60.00 60.00°
Sites, in units of the cell vectors:
Al (0.0000, 0.0000, 0.0000)
Ni (0.2500, 0.2500, 0.2500)
Ni (0.7500, 0.7500, 0.7500)
Hg (0.5000, 0.5000, 0.5000)